Record 1
Compound: Ba4PbBr
Source: Alexandria
Functional: PBE
Structure: optimized geometry

Computed properties:
M_tot: 0.0 μB per formula unit
total DFT energy (no corrections): -0.08290 Ha/atom
crystal system: cubic
raw formation energy: -77 meV per atom
DOS(E_F): 0.790 states/eV per atom

The structure in POSCAR format:
```
Ba4PbBr
1.0
0.0000 5.1814 5.1814
5.1814 0.0000 5.1814
5.1814 5.1814 0.0000
Ba Pb Br
4 1 1
direct
0.3760 0.3760 0.3760
0.3760 0.3760 0.8719
0.3760 0.8719 0.3760
0.8719 0.3760 0.3760
0.7500 0.7500 0.7500
0.0000 0.0000 0.0000
```

=====

Record 2
Compound: TlCoAg
Source: Alexandria
Functional: PBE
Structure: optimized geometry

Computed properties:
M_tot: 1.3 μB per formula unit
total DFT energy (no corrections): -0.13043 Ha/atom
crystal system: trigonal
DOS(E_F): 1.087 states/eV per atom
energy of formation: 1.68 eV per formula unit

The structure in POSCAR format:
```
TlCoAg
1.0
4.5899 0.0000 0.0000
-2.2950 3.9750 0.0000
0.0000 0.0000 2.9533
Tl Co Ag
1 1 1
direct
0.0000 0.0000 0.0000
0.6667 0.3333 0.8341
0.3333 0.6667 0.4174
```

=====

Record 3
Compound: Zr2AlPt
Source: Alexandria
Functional: PBE
Structure: optimized geometry

Computed properties:
M_tot: 0.0 μB per formula unit
total DFT energy (no corrections): -0.24971 Ha/atom
crystal system: tetragonal
DOS(E_F): 0.741 states/eV per atom
energy of formation: -0.30 eV per formula unit

The structure in POSCAR format:
```
Zr2AlPt
1.0
-2.0345 2.0345 9.8951
2.0345 -2.0345 9.8951
2.0345 2.0345 -9.8951
Zr Al Pt
4 2 2
direct
0.1219 0.6250 0.9969
0.3750 0.3719 0.4969
0.6281 0.1250 0.0031
0.8750 0.8781 0.5031
0.0000 0.0000 0.0000
0.7500 0.2500 0.5000
0.2500 0.7500 0.5000
0.5000 0.5000 0.0000
```